<P>
Here is a geometry-optimized SrHgAsBr2 structure from Alexandria via LeMat-Bulk. Energies are from PBE.

Geometry as POSCAR:
```
SrHgAsBr2
1.0
5.7071 0.0000 0.0000
0.0000 5.7071 0.0000
0.0000 0.0000 5.2261
As Sr Hg Br
1 1 1 2
Cartesian
0.0000 0.0000 2.6130
2.8536 2.8536 2.6130
0.0000 0.0000 0.0000
2.8536 0.0000 0.0000
0.0000 2.8536 0.0000
```

Calculated values
Calculated density = 5.10 g/cm³
Calculated volume = 34.044 A^3/atom
Symmetry = P4/mmm
Magnetic moment = 1.0 μB/cell

=====

<Q>
Here is a geometry-optimized SrHgAsBr2 structure from Alexandria via LeMat-Bulk. Energies are from PBE.

Geometry as POSCAR:
```
SrHgAsBr2
1.0
5.8881 0.0000 0.0000
0.0000 5.8881 0.0000
0.0000 0.0000 7.1699
Hg Br As Sr
1 2 1 1
Cartesian
2.9441 2.9441 3.5850
0.0000 2.9441 0.0000
2.9441 0.0000 0.0000
0.0000 0.0000 3.5850
0.0000 0.0000 0.0000
```

Calculated values
Calculated density = 3.49 g/cm³
Calculated volume = 49.717 A^3/atom
Symmetry = P4/mmm
Magnetic moment = 3.0 μB/cell

=====

What is the most stable structure shown above? It is <Q>.